# MoRhSeN2

A geometry-optimized MoRhSeN2 structure (GGA-PBE, the Alexandria database).

Values from the calculation:
DOS at the Fermi energy = 0.805 states/eV per atom
mass density = 6.43 Mg/m³
space-group type = P4/mmm, No. 123
raw formation energy = 6.70 eV per formula unit
E_tot = -31.62 eV for the cell shown
E above lowest polymorph = 0.6301 eV/atom

Cell lengths 3.8336, 3.8336, 5.3736 Å; angles 90.00, 90.00, 90.00 degrees
Closest atoms and distances in Å follow each position.
Sites, in units of the cell vectors:
Mo  0.0000  0.0000  0.0000  4 Se 2.71
Rh  0.5000  0.5000  0.5000  4 N 1.92
Se  0.5000  0.5000  0.0000  2 Rh 2.69, 4 Mo 2.71
N  0.0000  0.5000  0.5000  2 Rh 1.92
N  0.5000  0.0000  0.5000  2 Rh 1.92


# Ac2ZnAs

A geometry-optimized Ac2ZnAs structure (GGA-PBE, the Alexandria database).

Values from the calculation:
DOS at the Fermi energy = 1.080 states/eV per atom
mass density = 8.38 Mg/m³
space-group type = Fm-3m, No. 225
calculated formation energy = -2.29 eV per formula unit
E_tot = -16.43 eV for the cell shown
E above lowest polymorph = 0.1007 eV/atom

Cell lengths 5.5012, 5.5012, 5.5012 Å; angles 60.00, 60.00, 60.00 degrees
Closest atoms and distances in Å follow each position.
Sites, in units of the cell vectors:
Ac  0.2500  0.2500  0.2500  4 As 3.37, 4 Zn 3.37
Ac  0.7500  0.7500  0.7500  4 As 3.37, 4 Zn 3.37
Zn  0.0000  0.0000  0.0000  8 Ac 3.37
As  0.5000  0.5000  0.5000  8 Ac 3.37


# RbLaZnS

A geometry-optimized RbLaZnS structure (GGA-PBE, the Alexandria database).

Values from the calculation:
DOS at the Fermi energy = 0.439 states/eV per atom
mass density = 3.95 Mg/m³
space-group type = R3m, No. 160
raw formation energy = -3.10 eV per formula unit
E_tot = -14.40 eV for the cell shown
E above lowest polymorph = 0.0551 eV/atom

Cell lengths 9.0809, 9.0809, 9.0809 Å; angles 26.90, 26.90, 26.90 degrees
Closest atoms and distances in Å follow each position.
Sites, in units of the cell vectors:
Rb  0.0000  0.0000  0.0000  3 S 3.37, 3 Zn 3.74
La  0.8142  0.8142  0.8142  3 S 2.89, 3 Zn 3.18
Zn  0.5586  0.5586  0.5586  3 La 3.18
S  0.4219  0.4219  0.4219  3 La 2.89


# AcDy2Ho7

A geometry-optimized AcDy2Ho7 structure (GGA-PBE, the Alexandria database).

Values from the calculation:
DOS at the Fermi energy = 1.257 states/eV per atom
mass density = 7.11 Mg/m³
space-group type = Cmmm, No. 65
calculated formation energy = 6.87 eV per formula unit
E_tot = -38.49 eV for the cell shown
E above lowest polymorph = 0.6500 eV/atom

Cell lengths 9.0856, 9.0856, 5.7166 Å; angles 90.00, 90.00, 122.42 degrees
Closest atoms and distances in Å follow each position.
Sites, in units of the cell vectors:
Ac  0.0000  0.0000  0.0000  10 Ho 3.62-3.77
Dy  0.2972  0.7028  0.5000  7 Ho 3.07-3.23
Dy  0.7028  0.2972  0.5000  7 Ho 3.07-3.23
Ho  0.0583  0.2968  0.5000  2 Ho 3.11-3.40, 2 Dy 3.12-3.23
Ho  0.2270  0.7730  0.0000  2 Dy 3.07
Ho  0.2968  0.0583  0.5000  2 Ho 3.11-3.40, 2 Dy 3.12-3.23
Ho  0.5000  0.5000  0.5000  2 Dy 3.23, 4 Ho 3.40
Ho  0.7032  0.9417  0.5000  2 Ho 3.11-3.40, 2 Dy 3.12-3.23
Ho  0.7730  0.2270  0.0000  2 Dy 3.07
Ho  0.9417  0.7032  0.5000  2 Ho 3.11-3.40, 2 Dy 3.12-3.23


# MnTl2C

A geometry-optimized MnTl2C structure (GGA-PBE, the Alexandria database).

Values from the calculation:
DOS at the Fermi energy = 0.470 states/eV per atom
mass density = 8.82 Mg/m³
space-group type = I-42d, No. 122
calculated formation energy = 3.29 eV per formula unit
E_tot = -39.67 eV for the cell shown
E above lowest polymorph = 0.0000 eV/atom

Cell lengths 7.1258, 7.1258, 7.1258 Å; angles 94.07, 94.07, 149.10 degrees
Closest atoms and distances in Å follow each position.
Sites, in units of the cell vectors:
Mn  0.0000  0.0000  0.0000  2 C 1.90
Mn  0.7500  0.2500  0.5000  2 C 1.90
Tl  0.2657  0.6250  0.1407  2 C 2.69, 2 Mn 3.01
Tl  0.3750  0.5157  0.6407  2 C 2.69, 2 Mn 3.01
Tl  0.4843  0.1250  0.8593  2 C 2.69, 2 Mn 3.01
Tl  0.8750  0.7343  0.3593  2 C 2.69, 2 Mn 3.01
C  0.2500  0.7500  0.5000  2 Mn 1.90
C  0.5000  0.5000  0.0000  2 Mn 1.90


# Rb3ErPu2Te6

A geometry-optimized Rb3ErPu2Te6 structure (GGA-PBE, the Alexandria database).

Values from the calculation:
DOS at the Fermi energy = 2.223 states/eV per atom
mass density = 6.02 Mg/m³
space-group type = C2/m, No. 12
raw formation energy = -14.20 eV per formula unit
E_tot = -69.18 eV for the cell shown

Cell lengths 7.9182, 7.9182, 8.9208 Å; angles 98.51, 98.51, 120.00 degrees
Closest atoms and distances in Å follow each position.
Sites, in units of the cell vectors:
Rb  0.0000  0.0000  0.0000  6 Te 3.67-3.71
Rb  0.3321  0.6679  0.0000  6 Te 3.67-3.70
Rb  0.6679  0.3321  0.0000  6 Te 3.67-3.70
Er  0.5000  0.5000  0.5000  6 Te 3.10
Pu  0.1666  0.8334  0.5000  6 Te 3.15
Pu  0.8334  0.1666  0.5000  6 Te 3.15
Te  0.1054  0.4337  0.3012  1 Er 3.10, 2 Pu 3.15
Te  0.2380  0.2380  0.6991  1 Er 3.10, 2 Pu 3.15
Te  0.4337  0.1054  0.3012  1 Er 3.10, 2 Pu 3.15
Te  0.5663  0.8946  0.6988  1 Er 3.10, 2 Pu 3.15
Te  0.7620  0.7620  0.3009  1 Er 3.10, 2 Pu 3.15
Te  0.8946  0.5663  0.6988  1 Er 3.10, 2 Pu 3.15


# LaSi3Tc

A geometry-optimized LaSi3Tc structure (GGA-PBE, the Alexandria database).

Values from the calculation:
DOS at the Fermi energy = 1.004 states/eV per atom
mass density = 3.83 Mg/m³
space-group type = Pm-3m, No. 221
raw formation energy = 11.18 eV per formula unit
E_tot = -20.38 eV for the cell shown
E above lowest polymorph = 2.7878 eV/atom

Cell lengths 5.1841, 5.1841, 5.1841 Å; angles 90.00, 90.00, 90.00 degrees
Closest atoms and distances in Å follow each position.
Sites, in units of the cell vectors:
La  0.0000  0.0000  0.0000  6 Si 2.59
Si  0.0000  0.0000  0.5000  2 La 2.59
Si  0.0000  0.5000  0.0000  2 La 2.59
Si  0.5000  0.0000  0.0000  2 La 2.59
Tc  0.5000  0.5000  0.5000  12 Si 3.67


# Ta2HAu

A geometry-optimized Ta2HAu structure (GGA-PBE, the Alexandria database).

Values from the calculation:
DOS at the Fermi energy = 0.365 states/eV per atom
mass density = 15.99 Mg/m³
space-group type = I-42d, No. 122
E_tot = -59.60 eV for the cell shown
E above lowest polymorph = 0.0000 eV/atom

Cell lengths 5.3369, 5.3369, 5.3369 Å; angles 106.98, 106.98, 114.57 degrees
Closest atoms and distances in Å follow each position.
Sites, in units of the cell vectors:
Ta  0.0329  0.6250  0.9079  2 H 2.01
Ta  0.3750  0.2829  0.4079  2 H 2.01
Ta  0.7171  0.1250  0.0921  2 H 2.01
Ta  0.8750  0.9671  0.5921  2 H 2.01
H  0.0000  0.0000  0.0000  4 Ta 2.01
H  0.7500  0.2500  0.5000  4 Ta 2.01
Au  0.2500  0.7500  0.5000  8 Ta 2.79-2.86, 2 H 2.88
Au  0.5000  0.5000  0.0000  8 Ta 2.79-2.86, 2 H 2.88


> Look up the E_tot of the second one.

-16.43 eV for the cell shown


> Look up the E_tot of the eighth one.

-59.60 eV for the cell shown


Repeat the fifth record exactly.
# MnTl2C

A geometry-optimized MnTl2C structure (GGA-PBE, the Alexandria database).

Values from the calculation:
DOS at the Fermi energy = 0.470 states/eV per atom
mass density = 8.82 Mg/m³
space-group type = I-42d, No. 122
calculated formation energy = 3.29 eV per formula unit
E_tot = -39.67 eV for the cell shown
E above lowest polymorph = 0.0000 eV/atom

Cell lengths 7.1258, 7.1258, 7.1258 Å; angles 94.07, 94.07, 149.10 degrees
Closest atoms and distances in Å follow each position.
Sites, in units of the cell vectors:
Mn  0.0000  0.0000  0.0000  2 C 1.90
Mn  0.7500  0.2500  0.5000  2 C 1.90
Tl  0.2657  0.6250  0.1407  2 C 2.69, 2 Mn 3.01
Tl  0.3750  0.5157  0.6407  2 C 2.69, 2 Mn 3.01
Tl  0.4843  0.1250  0.8593  2 C 2.69, 2 Mn 3.01
Tl  0.8750  0.7343  0.3593  2 C 2.69, 2 Mn 3.01
C  0.2500  0.7500  0.5000  2 Mn 1.90
C  0.5000  0.5000  0.0000  2 Mn 1.90


Copy entry 4 word for word.
# AcDy2Ho7

A geometry-optimized AcDy2Ho7 structure (GGA-PBE, the Alexandria database).

Values from the calculation:
DOS at the Fermi energy = 1.257 states/eV per atom
mass density = 7.11 Mg/m³
space-group type = Cmmm, No. 65
calculated formation energy = 6.87 eV per formula unit
E_tot = -38.49 eV for the cell shown
E above lowest polymorph = 0.6500 eV/atom

Cell lengths 9.0856, 9.0856, 5.7166 Å; angles 90.00, 90.00, 122.42 degrees
Closest atoms and distances in Å follow each position.
Sites, in units of the cell vectors:
Ac  0.0000  0.0000  0.0000  10 Ho 3.62-3.77
Dy  0.2972  0.7028  0.5000  7 Ho 3.07-3.23
Dy  0.7028  0.2972  0.5000  7 Ho 3.07-3.23
Ho  0.0583  0.2968  0.5000  2 Ho 3.11-3.40, 2 Dy 3.12-3.23
Ho  0.2270  0.7730  0.0000  2 Dy 3.07
Ho  0.2968  0.0583  0.5000  2 Ho 3.11-3.40, 2 Dy 3.12-3.23
Ho  0.5000  0.5000  0.5000  2 Dy 3.23, 4 Ho 3.40
Ho  0.7032  0.9417  0.5000  2 Ho 3.11-3.40, 2 Dy 3.12-3.23
Ho  0.7730  0.2270  0.0000  2 Dy 3.07
Ho  0.9417  0.7032  0.5000  2 Ho 3.11-3.40, 2 Dy 3.12-3.23